Here is GaCuCl4 at its PBEsol-relaxed geometry from Alexandria. Energies are from meta-GGA SCAN.

Unit cell a=5.3950 b=5.3950 c=9.9154 alpha=90.00 beta=90.00 gamma=90.00
Last column: magnetic moment on the atom in μB.
Fractional positions:
Ga 0.0000 0.5000 0.7500  0.00
Ga 0.5000 0.0000 0.2500  0.00
Cl 0.7349 0.7616 0.1240  0.00
Cl 0.7349 0.2384 0.3760  0.00
Cl 0.2384 0.2651 0.6240  0.00
Cl 0.7616 0.2651 0.8760  0.00
Cl 0.2651 0.7616 0.3760  0.00
Cl 0.2384 0.7349 0.8760  0.00
Cl 0.2651 0.2384 0.1240  0.00
Cl 0.7616 0.7349 0.6240  0.00
Cu 0.0000 0.0000 0.5000  0.08
Cu 0.0000 0.0000 0.0000  0.08

## Properties
- ΔE_f (raw): -1.009 eV per atom
- Space group: P-42c (112)

***

Here is CuGeCl3 at its PBEsol-relaxed geometry from Alexandria. Energies are from meta-GGA SCAN.

Unit cell a=4.9624 b=4.9624 c=4.9624 alpha=90.00 beta=90.00 gamma=90.00
Fractional positions:
Cl 0.5000 0.0000 0.0000
Cl 0.0000 0.0000 0.5000
Cl 0.0000 0.5000 0.0000
Ge 0.0000 0.0000 0.0000
Cu 0.5000 0.5000 0.5000

## Properties
- ΔE_f (raw): -0.103 eV per atom
- Space group: Pm-3m (221)

***

Here is CuGeRuCl2 at its PBEsol-relaxed geometry from Alexandria. Energies are from meta-GGA SCAN.

Unit cell a=4.3166 b=4.3166 c=5.2275 alpha=90.00 beta=90.00 gamma=90.00
Last column: magnetic moment on the atom in μB.
Fractional positions:
Cu 0.0000 0.0000 0.0000  0.04
Ru 0.0000 0.0000 0.5000  2.23
Ge 0.5000 0.5000 0.5000  -0.09
Cl 0.0000 0.5000 0.0000  0.04
Cl 0.5000 0.0000 0.0000  0.04

## Properties
- ΔE_f (raw): 0.731 eV per atom
- Space group: P4/mmm (123)

***

Here is CuGeSbCl2 at its PBEsol-relaxed geometry from Alexandria. Energies are from meta-GGA SCAN.

Unit cell a=4.8510 b=5.2678 c=5.2678 alpha=90.00 beta=90.00 gamma=90.00
Last column: magnetic moment on the atom in μB.
Fractional positions:
Ge 0.5000 0.5000 0.5000  0.57
Cu 0.5000 0.0000 0.0000  0.03
Cl 0.0000 0.5000 0.0000  0.04
Cl 0.0000 0.0000 0.5000  0.04
Sb 0.0000 0.0000 0.0000  -0.02

## Properties
- ΔE_f (raw): 0.422 eV per atom
- Space group: P4/mmm (123)

***

Here is LiCuH4Cl3O2 at its PBEsol-relaxed geometry from Alexandria. Energies are from meta-GGA SCAN.

Unit cell a=6.0444 b=9.0384 c=10.8349 alpha=90.00 beta=90.00 gamma=109.59
Last column: magnetic moment on the atom in μB.
Fractional positions:
H 0.8402 0.7360 0.7867  0.00
H 0.1803 0.9307 0.6075  0.00
H 0.1598 0.2640 0.2133  0.00
H 0.3956 0.9378 0.6916  0.00
H 0.1598 0.7640 0.2867  0.00
H 0.8402 0.2360 0.7133  0.00
H 0.8851 0.5956 0.8567  0.00
H 0.1803 0.4307 0.8925  0.00
H 0.6044 0.0622 0.3084  0.00
H 0.6044 0.5622 0.1916  0.00
H 0.1149 0.9044 0.3567  0.00
H 0.1149 0.4044 0.1433  0.00
H 0.8197 0.0693 0.3925  0.00
H 0.8197 0.5693 0.1075  0.00
H 0.8851 0.0956 0.6433  0.00
H 0.3956 0.4378 0.8084  0.00
Cl 0.1126 0.5831 0.6194  0.16
Cl 0.1903 0.6768 0.1079  0.07
Cl 0.5389 0.6233 0.3697  0.08
Cl 0.1903 0.1768 0.3921  0.07
Cl 0.8874 0.4169 0.3806  0.16
Cl 0.8097 0.8232 0.6079  0.07
Cl 0.1126 0.0831 0.8806  0.16
Cl 0.4611 0.3767 0.6303  0.08
Cl 0.8097 0.3232 0.8921  0.07
Cl 0.4611 0.8767 0.8697  0.08
Cl 0.8874 0.9169 0.1194  0.16
Cl 0.5389 0.1233 0.1303  0.08
O 0.3542 0.4620 0.8933  0.00
O 0.6458 0.0380 0.3933  0.00
O 0.6458 0.5380 0.1067  0.00
O 0.1521 0.8075 0.3704  0.00
O 0.1521 0.3075 0.1296  0.00
O 0.3542 0.9620 0.6067  0.00
O 0.8479 0.1925 0.6296  0.00
O 0.8479 0.6925 0.8704  0.00
Cu 0.1586 0.3789 0.5111  0.59
Cu 0.8414 0.1211 0.0111  0.59
Cu 0.8414 0.6211 0.4889  0.59
Cu 0.1586 0.8789 0.9889  0.59
Li 0.4428 0.8401 0.4700  0.00
Li 0.5572 0.1599 0.5300  0.00
Li 0.5572 0.6599 0.9700  0.00
Li 0.4428 0.3401 0.0300  0.00

## Properties
- Space group: P2_1/c (14)
- E_tot: -7.32 eV/atom

***

Here is CuH12N2Cl4O2 at its PBEsol-relaxed geometry from Alexandria. Energies are from meta-GGA SCAN.

Unit cell a=7.5042 b=7.5603 c=7.7387 alpha=89.99 beta=89.99 gamma=90.00
Last column: magnetic moment on the atom in μB.
Fractional positions:
Cu 0.0014 0.0105 0.9969  0.68
Cu 0.4990 0.5049 0.4967  0.68
Cl 0.2789 0.3008 0.4965  0.07
Cl 0.8043 0.2364 0.9966  0.07
Cl 0.7745 0.2233 0.4964  0.00
Cl 0.7226 0.7042 0.4967  0.07
Cl 0.7117 0.7249 0.9962  0.00
Cl 0.2991 0.2697 0.9967  0.00
Cl 0.2067 0.7927 0.9966  0.07
Cl 0.2294 0.8089 0.4964  0.00
H 0.4199 0.9323 0.3241  0.00
H 0.4394 0.0889 0.8261  0.00
H 0.9145 0.5791 0.3234  0.00
H 0.4195 0.9328 0.6681  0.00
H 0.9207 0.0849 0.3172  0.00
H 0.5818 0.9125 0.8217  0.00
H 0.4399 0.0886 0.1662  0.00
H 0.5823 0.9121 0.1704  0.00
H 0.9210 0.0854 0.6762  0.00
H 0.0994 0.4463 0.6681  0.00
H 0.0766 0.9355 0.3184  0.00
H 0.0761 0.6063 0.8224  0.00
H 0.5713 0.5844 0.1749  0.00
H 0.4251 0.4257 0.1759  0.00
H 0.5972 0.0743 0.6678  0.00
H 0.9421 0.4228 0.1672  0.00
H 0.0992 0.4463 0.3246  0.00
H 0.5709 0.5846 0.8183  0.00
H 0.0758 0.6063 0.1703  0.00
H 0.5976 0.0737 0.3245  0.00
H 0.9424 0.4228 0.8257  0.00
H 0.9146 0.5791 0.6695  0.00
H 0.0769 0.9360 0.6749  0.00
H 0.4246 0.4258 0.8174  0.00
N 0.0082 0.5137 0.2463  0.00
N 0.0084 0.5137 0.7464  0.00
N 0.5103 0.0016 0.2463  0.00
N 0.5098 0.0021 0.7460  0.00
O 0.4821 0.5196 0.7449  0.06
O 0.9848 0.9957 0.7486  0.06
O 0.9839 0.9947 0.2449  0.06
O 0.4828 0.5193 0.2484  0.06

## Properties
- Space group: P1 (1)
- Energy relative to the lowest polymorph listed for this composition: 0.00 eV per formula unit

***

Here is CuH12N2Cl4O2 at its PBEsol-relaxed geometry from Alexandria. Energies are from meta-GGA SCAN.

Unit cell a=7.5064 b=7.5064 c=7.8028 alpha=90.00 beta=90.00 gamma=90.00
Last column: magnetic moment on the atom in μB.
Fractional positions:
H 0.4233 0.5767 0.3206  0.00
H 0.4169 0.0774 0.8268  0.00
H 0.9169 0.4226 0.3268  0.00
H 0.9226 0.5831 0.8268  0.00
H 0.0831 0.5774 0.6732  0.00
H 0.9233 0.9233 0.8206  0.00
H 0.0767 0.0767 0.8206  0.00
H 0.4226 0.9169 0.6732  0.00
H 0.5831 0.9226 0.8268  0.00
H 0.4233 0.5767 0.6794  0.00
H 0.0774 0.4169 0.1732  0.00
H 0.0767 0.0767 0.1794  0.00
H 0.5767 0.4233 0.3206  0.00
H 0.4226 0.9169 0.3268  0.00
H 0.0831 0.5774 0.3268  0.00
H 0.5774 0.0831 0.6732  0.00
H 0.5774 0.0831 0.3268  0.00
H 0.0774 0.4169 0.8268  0.00
H 0.9233 0.9233 0.1794  0.00
H 0.5767 0.4233 0.6794  0.00
H 0.4169 0.0774 0.1732  0.00
H 0.5831 0.9226 0.1732  0.00
H 0.9226 0.5831 0.1732  0.00
H 0.9169 0.4226 0.6732  0.00
Cl 0.7197 0.2803 0.5000  0.00
Cl 0.2803 0.7197 0.5000  0.00
Cl 0.2885 0.7115 0.0000  0.08
Cl 0.2197 0.2197 0.0000  0.00
Cl 0.7115 0.2885 0.0000  0.08
Cl 0.7885 0.7885 0.5000  0.08
Cl 0.7803 0.7803 0.0000  0.00
Cl 0.2115 0.2115 0.5000  0.08
N 0.5000 0.0000 0.7500  0.00
N 0.5000 0.0000 0.2500  0.00
N 0.0000 0.5000 0.7500  0.00
N 0.0000 0.5000 0.2500  0.00
Cu 0.0000 0.0000 0.5000  0.69
Cu 0.5000 0.5000 0.0000  0.69
O 0.5000 0.5000 0.2469  0.05
O 0.0000 0.0000 0.2531  0.05
O 0.0000 0.0000 0.7469  0.05
O 0.5000 0.5000 0.7531  0.05

## Properties
- Space group: P4_2/mnm (136)
- Energy relative to the lowest polymorph listed for this composition: 0.06 eV per formula unit

***

Here is CuH6Se2NClO6 at its PBEsol-relaxed geometry from Alexandria. Energies are from meta-GGA SCAN.

Unit cell a=7.2294 b=8.8402 c=11.9648 alpha=90.00 beta=90.00 gamma=90.00
Last column: magnetic moment on the atom in μB.
Fractional positions:
Se 0.8440 0.3083 0.0772  0.00
Se 0.8440 0.3083 0.4228  0.00
Se 0.1560 0.6917 0.9228  0.00
Se 0.6560 0.8083 0.4228  0.00
Se 0.3440 0.1917 0.5772  0.00
Se 0.3440 0.1917 0.9228  0.00
Se 0.6560 0.8083 0.0772  0.00
Se 0.1560 0.6917 0.5772  0.00
H 0.7938 0.8537 0.7500  0.00
H 0.2938 0.6463 0.2500  0.00
H 0.1164 0.4513 0.4270  0.00
H 0.6164 0.0487 0.5730  0.00
H 0.8788 0.2646 0.6778  0.00
H 0.9216 0.4265 0.7500  0.00
H 0.8788 0.2646 0.8222  0.00
H 0.6212 0.7646 0.8222  0.00
H 0.5784 0.9265 0.7500  0.00
H 0.8836 0.5487 0.9270  0.00
H 0.1212 0.7354 0.1778  0.00
H 0.0784 0.5735 0.2500  0.00
H 0.4216 0.0735 0.2500  0.00
H 0.6212 0.7646 0.6778  0.00
H 0.8836 0.5487 0.5730  0.00
H 0.3788 0.2354 0.3222  0.00
H 0.3788 0.2354 0.1778  0.00
H 0.6164 0.0487 0.9270  0.00
H 0.1212 0.7354 0.3222  0.00
H 0.3836 0.9513 0.4270  0.00
H 0.1164 0.4513 0.0730  0.00
H 0.2062 0.1463 0.2500  0.00
H 0.3836 0.9513 0.0730  0.00
H 0.7062 0.3537 0.7500  0.00
Cl 0.9410 0.0373 0.2500  -0.01
Cl 0.0590 0.9627 0.7500  -0.01
Cl 0.4410 0.4627 0.7500  -0.01
Cl 0.5590 0.5373 0.2500  -0.01
Cu 0.5000 0.5000 0.5000  0.70
Cu 0.5000 0.5000 0.0000  0.70
Cu 0.0000 0.0000 0.0000  0.70
Cu 0.0000 0.0000 0.5000  0.70
O 0.9602 0.6056 0.6346  0.01
O 0.4459 0.2895 0.0316  0.07
O 0.4602 0.8944 0.3654  0.01
O 0.2624 0.0392 0.4998  0.07
O 0.0398 0.3944 0.1346  0.01
O 0.2376 0.5392 0.4998  0.07
O 0.0541 0.7895 0.0316  0.07
O 0.7624 0.4608 0.5002  0.07
O 0.9459 0.2105 0.5316  0.07
O 0.9459 0.2105 0.9684  0.07
O 0.5398 0.1056 0.6346  0.01
O 0.7376 0.9608 0.5002  0.07
O 0.4459 0.2895 0.4684  0.07
O 0.9602 0.6056 0.8654  0.01
O 0.2376 0.5392 0.0002  0.07
O 0.5541 0.7105 0.5316  0.07
O 0.0541 0.7895 0.4684  0.07
O 0.0398 0.3944 0.3654  0.01
O 0.7624 0.4608 0.9998  0.07
O 0.2624 0.0392 0.0002  0.07
O 0.4602 0.8944 0.1346  0.01
O 0.7376 0.9608 0.9998  0.07
O 0.5541 0.7105 0.9684  0.07
O 0.5398 0.1056 0.8654  0.01
N 0.6524 0.8257 0.7500  0.00
N 0.8476 0.3257 0.7500  0.00
N 0.1524 0.6743 0.2500  0.00
N 0.3476 0.1743 0.2500  0.00

## Properties
- Space group: Pnma (62)
- E_tot: -8.51 eV/atom

***

Here is Cu3NiH6Cl2O6 at its PBEsol-relaxed geometry from Alexandria. Energies are from meta-GGA SCAN.

Unit cell a=5.9402 b=5.9402 c=5.9402 alpha=71.30 beta=71.30 gamma=71.30
Last column: magnetic moment on the atom in μB.
Fractional positions:
Cl 0.1783 0.1783 0.1783  -0.01
Cl 0.8217 0.8217 0.8217  -0.01
H 0.1766 0.7707 0.7707  0.00
H 0.2293 0.8234 0.2293  0.00
H 0.7707 0.1766 0.7707  0.00
H 0.2293 0.2293 0.8234  0.00
H 0.8234 0.2293 0.2293  0.00
H 0.7707 0.7707 0.1766  0.00
Ni 0.5000 0.5000 0.5000  1.65
O 0.7274 0.3610 0.7274  -0.08
O 0.6390 0.2726 0.2726  -0.08
O 0.7274 0.7274 0.3610  -0.08
O 0.3610 0.7274 0.7274  -0.08
O 0.2726 0.2726 0.6390  -0.08
O 0.2726 0.6390 0.2726  -0.08
Cu 0.5000 0.5000 0.0000  -0.72
Cu 0.0000 0.5000 0.5000  -0.72
Cu 0.5000 0.0000 0.5000  -0.72

## Properties
- Space group: R-3m (166)
- E_tot: -8.55 eV/atom

***

Here is CuH4Cl2O2 at its PBEsol-relaxed geometry from Alexandria. Energies are from meta-GGA SCAN.

Unit cell a=3.7624 b=7.2737 c=7.8154 alpha=90.00 beta=90.00 gamma=90.00
Last column: magnetic moment on the atom in μB.
Fractional positions:
H 0.8663 0.5888 0.8168  0.00
H 0.1337 0.4112 0.8168  0.00
H 0.8663 0.9112 0.3168  0.00
H 0.8663 0.9112 0.6832  0.00
H 0.8663 0.5888 0.1832  0.00
H 0.1337 0.4112 0.1832  0.00
H 0.1337 0.0888 0.3168  0.00
H 0.1337 0.0888 0.6832  0.00
Cu 0.0000 0.0000 0.0000  0.69
Cu 0.0000 0.5000 0.5000  0.69
O 0.0000 0.5000 0.2562  0.05
O 0.0000 0.0000 0.2438  0.05
O 0.0000 0.0000 0.7562  0.05
O 0.0000 0.5000 0.7438  0.05
Cl 0.6311 0.7468 0.5000  0.07
Cl 0.3689 0.2532 0.5000  0.07
Cl 0.3689 0.2468 0.0000  0.07
Cl 0.6311 0.7532 0.0000  0.07

## Properties
- Space group: Pmna (53)
- E_tot: -7.31 eV/atom

***

Here is Rb2CuH4Cl4O2 at its PBEsol-relaxed geometry from Alexandria. Energies are from meta-GGA SCAN.

Unit cell a=7.5387 b=7.5387 c=7.8963 alpha=90.00 beta=90.00 gamma=90.00
Last column: magnetic moment on the atom in μB.
Fractional positions:
Cl 0.2125 0.2125 0.5000  0.00
Cl 0.2109 0.2109 0.0000  0.07
Cl 0.7109 0.2891 0.5000  0.07
Cl 0.7125 0.2875 0.0000  0.00
Cl 0.2891 0.7109 0.5000  0.07
Cl 0.7891 0.7891 0.0000  0.07
Cl 0.2875 0.7125 0.0000  0.00
Cl 0.7875 0.7875 0.5000  0.00
Cu 0.0000 0.0000 0.0000  0.68
Cu 0.5000 0.5000 0.5000  0.68
O 0.5000 0.5000 0.2547  0.05
O 0.0000 0.0000 0.2453  0.05
O 0.5000 0.5000 0.7453  0.05
O 0.0000 0.0000 0.7547  0.05
H 0.9237 0.9237 0.3199  0.00
H 0.4237 0.5763 0.8199  0.00
H 0.5763 0.4237 0.8199  0.00
H 0.4237 0.5763 0.1801  0.00
H 0.9237 0.9237 0.6801  0.00
H 0.0763 0.0763 0.6801  0.00
H 0.5763 0.4237 0.1801  0.00
H 0.0763 0.0763 0.3199  0.00
Rb 0.0000 0.5000 0.7500  0.00
Rb 0.5000 0.0000 0.2500  0.00
Rb 0.0000 0.5000 0.2500  0.00
Rb 0.5000 0.0000 0.7500  0.00

## Properties
- Space group: P4_2/mnm (136)
- E_tot: -10.17 eV/atom